# 1
First-principles (PBE) data for an optimized crystal structure of GaPbO3, as listed in Alexandria.

Lattice parameters (Å, degrees): 3.1170 6.7519 8.6741 90.00 90.00 90.00
Last column: nearest neighbours and their distance in Å.
Space group Amm2 (No. 38)
One atom of each set of equivalent atoms:
Ga (0.0000, 0.0000, 0.0000) (multiplicity 2)  5 O 1.91-2.00
Pb (0.5000, 0.0000, 0.6072) (multiplicity 2)  4 O 2.16-2.26
O (0.0000, 0.0000, 0.7804) (multiplicity 2)  1 Ga 1.91
O (0.5000, 0.1751, 0.0453) (multiplicity 4)  2 Ga 2.00

Values from the calculation:
Calculated total energy, eV/cell: -54.87
E_form (uncorrected), meV/atom: -1165
Fermi-level density of states, states/eV per atom: 0.193

# 2
First-principles (PBE) data for an optimized crystal structure of KPb2IO8, as listed in Alexandria.

Lattice parameters (Å, degrees): 4.8015 7.8530 5.2044 90.00 92.52 90.00
Last column: nearest neighbours and their distance in Å.
Space group P2/m (No. 10)
One atom of each set of equivalent atoms:
K (0.0000, 0.0000, 0.0000) (multiplicity 1)  8 O 2.66-2.82
Pb (0.5000, 0.2809, 0.5000) (multiplicity 2)  4 O 2.28-2.39
I (0.0000, 0.5000, 0.0000) (multiplicity 1)  6 O 1.90-1.98
O (0.1396, 0.0000, 0.4997) (multiplicity 2)  1 O 1.34
O (0.1998, 0.3206, 0.8487) (multiplicity 4)  1 I 1.90
O (0.2590, 0.5000, 0.3064) (multiplicity 2)  1 I 1.98

Values from the calculation:
Calculated total energy, eV/cell: -57.67
E_form (uncorrected), meV/atom: -662
Fermi-level density of states, states/eV per atom: 0.393

# 3
First-principles (PBE) data for an optimized crystal structure of MnFeIr, as listed in Alexandria.

Lattice parameters (Å, degrees): 2.6779 3.6552 7.8923 90.00 90.00 90.00
Last column: nearest neighbours and their distance in Å.
Space group Imm2 (No. 44)
One atom of each set of equivalent atoms:
Mn (0.0000, 0.0000, 0.0000) (multiplicity 2)  5 Ir 2.62-2.64, 5 Fe 2.62, 2 Mn 2.68
Fe (0.0000, 0.0000, 0.6675) (multiplicity 2)  5 Ir 2.62-2.63, 5 Mn 2.62, 2 Fe 2.68
Ir (0.0000, 0.0000, 0.3340) (multiplicity 2)  5 Mn 2.62-2.64, 5 Fe 2.62-2.63, 2 Ir 2.68

Values from the calculation:
Calculated total energy, eV/cell: -53.54
Formation enthalpy at 0 K, meV per atom: -93
Fermi-level density of states, states/eV per atom: 1.118